First-principles (SCAN) data for Mo2IrCl at its PBEsol-relaxed geometry, as listed in the Alexandria database.

## Properties
distance to the lowest polymorph of the same formula: 2.19 eV/f.u.

a b c (Å): 5.0607 5.0607 5.0607
angles (deg): 136.70 136.70 62.90
Sites, in units of the cell vectors:
1 Mo 0.0000 0.0000 0.0000
2 Mo 0.7500 0.2500 0.5000
3 Ir 0.2500 0.7500 0.5000
4 Cl 0.5000 0.5000 0.0000



First-principles (SCAN) data for Ni2MoIrCl at its PBEsol-relaxed geometry, as listed in the Alexandria database.

## Properties
electronic total energy: -137.95 eV per cell

a b c (Å): 4.4715 4.4715 4.6736
angles (deg): 90.00 90.00 90.00
Sites, in units of the cell vectors:
1 Ni 0.0000 0.5000 0.0000
2 Ni 0.5000 0.0000 0.0000
3 Mo 0.0000 0.0000 0.0000
4 Ir 0.0000 0.0000 0.5000
5 Cl 0.5000 0.5000 0.5000